8
Lattice="-2.854 0.815 3.096 4.463 -3.306 4.984 1.640 7.241 -0.395" Properties=species:S:1:pos:R:3 comment="Ac2LaCePt4 GGA-PBE relaxed" dft_energy_ev_per_cell=-52.341 rho_g_cm3=11.2 pbc="T T T"
La 0.000 0.000 0.000
Ac -0.607 4.028 1.351
Ac 3.052 1.967 2.294
Pt 3.673 -0.761 3.586
Pt 0.084 1.288 2.709
Pt 2.430 4.695 1.003
Pt 3.165 3.461 4.977
Ce 0.805 -1.245 4.040



8
Lattice="-1.621 -3.397 -1.957 5.912 -3.628 1.401 -0.624 -3.412 6.440" Properties=species:S:1:pos:R:3 comment="Ac2LaCeRh4 GGA-PBE relaxed" dft_energy_ev_per_cell=-53.565 rho_g_cm3=9.2 pbc="T T T"
Ac -0.624 -3.412 6.440
Ac -1.122 -3.404 2.242
Ce 2.644 -3.520 3.921
La 1.521 -6.925 6.162
Rh 0.386 -5.213 4.132
Rh 3.281 -5.224 1.753
Rh -0.124 -5.298 0.104
Rh 3.791 -5.139 5.780



8
Lattice="-3.431 1.980 -1.254 1.117 -2.341 -6.754 -4.067 -4.798 3.554" Properties=species:S:1:pos:R:3 comment="AcLa2CeS4 GGA-PBE relaxed" dft_energy_ev_per_cell=-53.053 rho_g_cm3=6.3 pbc="T T T"
Ce -1.157 -0.181 -4.004
S -3.924 -4.324 -2.976
S -2.458 -0.836 -1.478
S -2.771 -4.216 0.926
S -0.179 -2.923 -4.126
Ac 0.000 0.000 0.000
La -3.749 -1.409 1.150
La -1.475 -3.570 -1.600



16
Lattice="-7.267 -3.917 -1.321 3.645 -4.791 -5.849 3.223 0.343 7.709" Properties=species:S:1:pos:R:3 comment="Ac4LaCe3S8 GGA-PBE relaxed" dft_energy_ev_per_cell=-104.559 rho_g_cm3=6.9 pbc="T T T"
Ce 3.434 -2.224 0.930
Ce -1.811 -4.354 -3.585
Ce -0.199 -4.182 0.270
Ac -2.022 -1.787 3.194
Ac 0.000 0.000 0.000
Ac -3.633 -1.959 -0.660
Ac 1.611 0.172 3.854
S 0.475 -6.083 2.340
S -0.874 -2.281 -1.801
S 0.766 -2.109 2.042
S 2.475 -4.316 -0.819
S -1.165 -6.255 -1.502
S 4.069 -4.146 2.993
S -4.467 -4.218 -2.454
S -2.874 -4.048 1.358
La 1.823 -2.395 -2.924



8
Lattice="4.121 0.000 0.000 0.000 7.189 -0.158 0.000 2.515 6.695" Properties=species:S:1:pos:R:3 comment="AcLaCe2S4 GGA-PBE relaxed" dft_energy_ev_per_cell=-53.800 rho_g_cm3=6.4 pbc="T T T"
S 2.060 3.601 4.980
S 2.060 6.103 1.557
S 4.121 2.343 1.699
S 0.000 7.361 4.838
Ce 0.000 2.515 6.695
Ce 2.060 1.258 3.348
La 0.000 4.852 3.269
Ac 2.060 3.594 -0.079



8
Lattice="-0.609 -1.347 3.916 6.571 -3.137 -0.057 0.616 6.852 2.453" Properties=species:S:1:pos:R:3 comment="Ac2LaCeS4 GGA-PBE relaxed" dft_energy_ev_per_cell=-51.934 rho_g_cm3=6.8 pbc="T T T"
Ac 3.593 1.858 1.198
Ac 0.003 2.752 3.185
Ce 2.981 -2.242 1.930
S 5.015 -0.717 0.533
S 5.097 2.199 3.787
S 2.172 4.432 1.863
S 1.481 0.169 2.526
La 0.000 0.000 0.000



12
Lattice="-3.247 -1.533 2.141 5.291 -4.140 5.061 0.584 8.817 3.118" Properties=species:S:1:pos:R:3 comment="Ac2La3CeS6 GGA-PBE relaxed" dft_energy_ev_per_cell=-78.659 rho_g_cm3=6.4 pbc="T T T"
S 3.996 -3.078 3.858
S 1.477 3.690 4.883
S -1.565 1.567 2.830
S 1.150 -0.545 5.437
S -1.369 6.223 6.462
S 4.193 1.577 7.490
La 1.022 -2.836 3.601
La 4.073 -0.766 5.630
La -1.446 3.911 4.689
Ac 1.222 1.863 7.270
Ac 1.406 1.282 3.050
Ce -1.624 -0.766 1.070



12
Lattice="7.999 -0.001 0.000 -3.998 6.928 0.000 -1.335 -2.312 7.546" Properties=species:S:1:pos:R:3 comment="AcLa3Ce2Sb6 GGA-PBE relaxed" dft_energy_ev_per_cell=-69.675 rho_g_cm3=6.6 pbc="T T T"
La 1.333 2.308 3.773
La 5.366 -0.022 3.773
La -2.701 4.637 3.773
Ce -0.011 4.625 0.000
Ce 4.012 2.302 0.000
Sb 2.748 0.001 1.880
Sb -0.083 4.614 5.666
Sb -1.372 2.381 1.880
Sb 0.042 0.072 5.686
Sb 2.624 4.543 1.860
Sb 4.038 2.234 5.666
Ac 0.000 0.000 0.000



12
Lattice="8.094 -0.001 0.000 -4.046 7.010 0.000 -1.350 -2.337 7.640" Properties=species:S:1:pos:R:3 comment="Ac3LaCe2Sb6 GGA-PBE relaxed" dft_energy_ev_per_cell=-67.794 rho_g_cm3=7.0 pbc="T T T"
Ce -0.005 4.677 0.000
Ce 4.053 2.333 0.000
Sb 2.733 0.001 1.796
Sb -0.035 4.671 5.846
Sb 2.680 4.641 1.787
Sb 4.063 2.304 5.846
Sb -1.365 2.368 1.796
Sb 0.018 0.031 5.855
Ac 1.349 2.336 3.821
Ac 5.411 -0.010 3.821
Ac -2.713 4.682 3.821
La 0.000 0.000 0.000



4
Lattice="5.777 0.000 0.000 2.889 5.003 0.000 2.889 1.668 4.717" Properties=species:S:1:pos:R:3 comment="AcLaCeSc GGA-PBE relaxed" dft_energy_ev_per_cell=-20.431 rho_g_cm3=6.7 pbc="T T T"
La 0.000 0.000 0.000
Sc 8.666 5.003 3.538
Ac 5.777 3.336 2.359
Ce 2.889 1.668 1.179



16
Lattice="8.726 0.000 0.000 0.000 8.727 -0.005 -4.363 -4.359 6.173" Properties=species:S:1:pos:R:3 comment="Ac3La4CeSe8 GGA-PBE relaxed" dft_energy_ev_per_cell=-96.552 rho_g_cm3=7.1 pbc="T T T"
Se 4.363 4.425 3.124
Se 4.363 -0.054 3.115
Se 0.000 -0.056 3.044
Se 2.231 -2.184 6.132
Se 2.132 6.553 0.036
Se -2.231 -2.184 6.132
Se 6.594 6.553 0.036
Se 0.000 4.423 3.053
La 2.182 -2.179 3.087
La 0.000 0.000 0.000
La 4.363 0.000 0.000
La -2.182 -2.179 3.087
Ac 2.182 2.184 3.084
Ac -2.182 2.184 3.084
Ac 4.363 4.364 -0.002
Ce 0.000 4.364 -0.002



12
Lattice="7.530 -0.005 -0.002 -3.767 6.520 -0.002 -1.257 -2.176 7.158" Properties=species:S:1:pos:R:3 comment="Ac3LaCe2Se6 GGA-PBE relaxed" dft_energy_ev_per_cell=-72.382 rho_g_cm3=7.4 pbc="T T T"
Se 2.539 -0.002 1.693
Se 3.777 2.140 5.461
Se 2.492 4.314 1.672
Se -1.271 2.198 1.693
Se -0.033 4.341 5.461
Se 0.014 0.024 5.482
Ac 1.253 2.169 3.577
Ac -2.535 4.357 3.577
Ac 5.040 -0.018 3.577
Ce 3.767 2.168 -0.002
Ce -0.005 4.347 -0.002
La 0.000 0.000 0.000



Q: What is the formula in the third record?
A: AcLa2CeS4